(1)
First-principles (GGA-PBE) data for a relaxed TiOs crystal, as listed in Alexandria.

The calculation puts the final energy at -9.12 eV per atom. For the size of the total moment, the calculation gives 0.00 μB per formula unit.

The structure belongs to space group Fm-3m (No. 225); the cell edges are 5.121, 5.121 and 5.121 Å and the angles 90.00°, 90.00° and 90.00°. The inequivalent atoms are Ti at (0.000, 0.000, 0.000) and Os at (0.000, 0.000, 0.500).



(2)
First-principles (GGA-PBE) data for a relaxed SrLiFe crystal, as listed in Alexandria.

The calculation puts the final energy at -2.93 eV per atom. For the size of the total moment, the calculation gives 2.80 μB per formula unit. The energy above the most stable polymorph in this dataset comes out at 49.8 kJ/mol of atoms.

The structure belongs to space group F-43m (No. 216); the cell edges are 7.229, 7.229 and 7.229 Å and the angles 90.00°, 90.00° and 90.00°. The inequivalent atoms are Sr at (0.000, 0.000, 0.000), Li at (0.250, 0.250, 0.250) and Fe at (0.250, 0.250, 0.750).



Repeat the first record exactly.
First-principles (GGA-PBE) data for a relaxed TiOs crystal, as listed in Alexandria.

The calculation puts the final energy at -9.12 eV per atom. For the size of the total moment, the calculation gives 0.00 μB per formula unit.

The structure belongs to space group Fm-3m (No. 225); the cell edges are 5.121, 5.121 and 5.121 Å and the angles 90.00°, 90.00° and 90.00°. The inequivalent atoms are Ti at (0.000, 0.000, 0.000) and Os at (0.000, 0.000, 0.500).